Entry 1:
VASP calculation (GGA-PBE) on a relaxed SrZnTc crystal.

Results
* E above lowest polymorph: 0.145 eV per atom
* formation energy: 179 meV per atom
* D(E_F): 1.018 states/eV per atom
* M_tot: 0.122 μB/atom

abc: 4.6613 5.0552 6.0873
angles: 90.00 112.33 90.00
Fractional coordinates of all 6 atoms:
Sr1 0.2832 0.2500 0.5675
Sr2 0.7168 0.7500 0.4325
Zn1 0.5504 0.2500 0.1013
Zn2 0.4496 0.7500 0.8987
Tc1 0.0000 0.0000 0.0000
Tc2 0.0000 0.5000 0.0000

Entry 2:
VASP calculation (GGA-PBE) on a relaxed Sm3Tm4Mg2 crystal.

Results
* formation energy: 12 meV per atom
* D(E_F): 1.308 states/eV per atom
* M_tot: 0.000 μB/atom

abc: 4.8886 7.8713 7.7953
angles: 107.66 108.27 90.00
Fractional coordinates of all 9 atoms:
Sm1 0.8881 0.3370 0.7761
Sm2 0.1119 0.6630 0.2239
Sm3 0.0000 0.0000 0.0000
Tm1 0.5571 0.3353 0.1142
Tm2 0.7787 0.6684 0.5574
Tm3 0.4429 0.6647 0.8858
Tm4 0.2213 0.3316 0.4426
Mg1 0.3302 0.9999 0.6604
Mg2 0.6698 0.0001 0.3396

Entry 3:
VASP calculation (GGA-PBE) on a relaxed UCuNiSn crystal.

Results
* formation energy: -89 meV per atom
* D(E_F): 1.736 states/eV per atom
* M_tot: 0.455 μB/atom

abc: 4.6454 4.6454 4.6454
angles: 60.00 60.00 60.00
Fractional coordinates of all 4 atoms:
Ni1 0.0000 0.0000 0.0000
U1 0.2500 0.2500 0.2500
Sn1 0.7500 0.7500 0.7500
Cu1 0.5000 0.5000 0.5000

Entry 4:
VASP calculation (GGA-PBE) on a relaxed Eu3Co5H12 crystal.

Results
* electronic total energy: -5.4509 eV/atom
* D(E_F): 1.274 states/eV per atom
* M_tot: 0.900 μB/atom

abc: 9.8489 9.8489 9.8489
angles: 109.47 109.47 109.47
Fractional coordinates of all 80 atoms:
Eu1 0.7500 0.3750 0.1250
Eu2 0.8750 0.7500 0.1250
Eu3 0.3750 0.7500 0.6250
Eu4 0.2500 0.1250 0.3750
Eu5 0.8750 0.1250 0.2500
Eu6 0.3750 0.6250 0.2500
Eu7 0.6250 0.3750 0.7500
Eu8 0.1250 0.8750 0.7500
Eu9 0.7500 0.8750 0.6250
Eu10 0.6250 0.2500 0.3750
Eu11 0.1250 0.2500 0.8750
Eu12 0.2500 0.6250 0.8750
Co1 0.1250 0.3750 0.2500
Co2 0.0000 0.5000 0.0000
Co3 0.0000 0.0000 0.0000
Co4 0.3750 0.2500 0.1250
Co5 0.5000 0.0000 0.5000
Co6 0.5000 0.5000 0.0000
Co7 0.1250 0.7500 0.3750
Co8 0.7500 0.1250 0.8750
Co9 0.7500 0.6250 0.3750
Co10 0.3750 0.1250 0.7500
Co11 0.6250 0.8750 0.2500
Co12 0.5000 0.5000 0.5000
Co13 0.5000 0.0000 0.0000
Co14 0.0000 0.0000 0.5000
Co15 0.2500 0.3750 0.6250
Co16 0.2500 0.8750 0.1250
Co17 0.0000 0.5000 0.5000
Co18 0.8750 0.2500 0.6250
Co19 0.6250 0.7500 0.8750
Co20 0.8750 0.6250 0.7500
H1 0.6781 0.0931 0.0030
H2 0.3249 0.5030 0.4099
H3 0.9970 0.4069 0.3219
H4 0.5030 0.1781 0.0931
H5 0.5850 0.6781 0.6751
H6 0.9970 0.5901 0.1751
H7 0.3249 0.8219 0.4150
H8 0.0901 0.9150 0.0931
H9 0.5901 0.9970 0.6751
H10 0.6781 0.5850 0.1751
H11 0.8219 0.4970 0.4069
H12 0.8249 0.9099 0.0030
H13 0.0931 0.6781 0.5030
H14 0.4069 0.4099 0.0850
H15 0.0850 0.9099 0.4069
H16 0.4150 0.0931 0.5901
H17 0.0850 0.1751 0.1781
H18 0.4970 0.6751 0.0901
H19 0.8249 0.9150 0.3219
H20 0.0931 0.4150 0.0901
H21 0.4069 0.9970 0.8219
H22 0.5901 0.5931 0.4150
H23 0.9099 0.8249 0.5030
H24 0.8219 0.3249 0.9150
H25 0.4099 0.4069 0.5850
H26 0.0901 0.1751 0.4970
H27 0.1781 0.6751 0.0850
H28 0.1751 0.0850 0.6781
H29 0.5931 0.0030 0.1781
H30 0.9069 0.5850 0.9099
H31 0.5030 0.3249 0.9099
H32 0.5850 0.9069 0.4099
H33 0.9150 0.8249 0.8219
H34 0.9150 0.0901 0.5931
H35 0.9069 0.3219 0.4970
H36 0.1751 0.0901 0.9970
H37 0.5931 0.5901 0.9150
H38 0.4099 0.0030 0.3249
H39 0.3219 0.4150 0.8249
H40 0.1781 0.5030 0.5931
H41 0.9099 0.0850 0.9069
H42 0.6751 0.1781 0.5850
H43 0.4970 0.8219 0.9069
H44 0.0030 0.4099 0.8249
H45 0.4150 0.3219 0.3249
H46 0.0030 0.5931 0.6781
H47 0.6751 0.4970 0.5901
H48 0.3219 0.9069 0.9970

Entry 5:
VASP calculation (GGA-PBE) on a relaxed BaZn3Ag2 crystal.

Results
* formation energy: -188 meV per atom
* D(E_F): 0.520 states/eV per atom
* M_tot: 0.000 μB/atom

abc: 5.7794 6.8869 6.8869
angles: 103.22 90.00 90.00
Fractional coordinates of all 12 atoms:
Ba1 0.7500 0.3247 0.3247
Ba2 0.2500 0.6753 0.6753
Zn1 0.7500 0.9180 0.9180
Zn2 0.2500 0.0820 0.0820
Zn3 0.7500 0.9059 0.5408
Zn4 0.2500 0.0941 0.4592
Zn5 0.7500 0.5408 0.9059
Zn6 0.2500 0.4592 0.0941
Ag1 0.0000 0.7926 0.2074
Ag2 0.5000 0.2074 0.7926
Ag3 0.0000 0.2074 0.7926
Ag4 0.5000 0.7926 0.2074

Entry 6:
VASP calculation (GGA-PBE) on a relaxed Pr2NdAg6 crystal.

Results
* formation energy: -258 meV per atom
* D(E_F): 0.794 states/eV per atom
* M_tot: 0.000 μB/atom

abc: 3.6148 8.3521 8.3521
angles: 120.00 90.00 90.00
Fractional coordinates of all 9 atoms:
Pr1 0.0000 0.3333 0.6667
Pr2 0.0000 0.6667 0.3333
Nd1 0.0000 0.0000 0.0000
Ag1 0.5000 0.3328 0.3328
Ag2 0.5000 0.6672 0.6672
Ag3 0.5000 0.0000 0.6672
Ag4 0.5000 0.6672 0.0000
Ag5 0.5000 0.3328 0.0000
Ag6 0.5000 0.0000 0.3328

Entry 7:
VASP calculation (GGA-PBE) on a relaxed BaSr6Mg2 crystal.

Results
* E above lowest polymorph: 0.000 eV per atom
* formation energy: -1 meV per atom
* D(E_F): 1.246 states/eV per atom
* M_tot: 0.000 μB/atom

abc: 4.2930 7.7586 13.9738
angles: 77.05 81.16 73.94
Fractional coordinates of all 9 atoms:
Ba1 0.0000 0.0000 0.0000
Sr1 0.6907 0.4908 0.1279
Sr2 0.3093 0.5092 0.8721
Sr3 0.3195 0.7744 0.5866
Sr4 0.9723 0.7260 0.3294
Sr5 0.0277 0.2740 0.6706
Sr6 0.6805 0.2256 0.4134
Mg1 0.3414 0.0994 0.2178
Mg2 0.6586 0.9006 0.7822

Entry 8:
VASP calculation (GGA-PBE) on a relaxed NaGa4Co crystal.

Results
* formation energy: -174 meV per atom
* D(E_F): 0.487 states/eV per atom
* M_tot: 0.000 μB/atom

abc: 3.6963 6.9815 7.9719
angles: 90.00 90.00 90.00
Fractional coordinates of all 12 atoms:
Na1 0.0000 0.6021 0.7500
Na2 0.0000 0.3979 0.2500
Ga1 0.0000 0.0000 0.5000
Ga2 0.0000 0.0000 0.0000
Ga3 0.5000 0.9355 0.7500
Ga4 0.5000 0.0645 0.2500
Ga5 0.5000 0.6860 0.0673
Ga6 0.5000 0.3140 0.9327
Ga7 0.5000 0.6860 0.4327
Ga8 0.5000 0.3140 0.5673
Co1 0.0000 0.1802 0.7500
Co2 0.0000 0.8198 0.2500

Entry 9:
VASP calculation (GGA-PBE) on a relaxed BaYSe2 crystal.

Results
* energy relative to the elements, uncorrected: -1.69 eV per atom
* E above lowest polymorph: 0.199 eV per atom
* D(E_F): 0.664 states/eV per atom
* M_tot: 0.160 μB/atom

abc: 8.0768 8.0768 8.0768
angles: 152.01 150.98 40.76
Fractional coordinates of all 4 atoms:
Ba1 0.2953 0.7953 0.5000
Se1 0.9728 0.9728 0.0000
Se2 0.6859 0.1859 0.5000
Y1 0.5460 0.5460 0.0000

Entry 10:
VASP calculation (GGA-PBE) on a relaxed HfTa2Cr2 crystal.

Results
* formation energy: 277 meV per atom
* D(E_F): 1.077 states/eV per atom
* M_tot: 0.477 μB/atom

abc: 7.3192 7.3192 3.1715
angles: 90.00 90.00 90.00
Fractional coordinates of all 10 atoms:
Cr1 0.3647 0.8647 0.0000
Cr2 0.8647 0.6353 0.0000
Cr3 0.6353 0.1353 0.0000
Cr4 0.1353 0.3647 0.0000
Hf1 0.0000 0.0000 0.0000
Hf2 0.5000 0.5000 0.0000
Ta1 0.1527 0.6527 0.5000
Ta2 0.6527 0.8473 0.5000
Ta3 0.8473 0.3473 0.5000
Ta4 0.3473 0.1527 0.5000

Entry 11:
VASP calculation (GGA-PBE) on a relaxed Sm4Ga16Fe3 crystal.

Results
* formation energy: -452 meV per atom
* D(E_F): 0.483 states/eV per atom
* M_tot: 0.060 μB/atom

abc: 6.0776 6.0776 11.3256
angles: 90.00 90.00 90.00
Fractional coordinates of all 23 atoms:
Sm1 0.5000 0.0000 0.8054
Sm2 0.0000 0.5000 0.1946
Sm3 0.0000 0.5000 0.8054
Sm4 0.5000 0.0000 0.1946
Ga1 0.0000 0.0000 0.7836
Ga2 0.2813 0.2813 0.0000
Ga3 0.5000 0.5000 0.8012
Ga4 0.7187 0.2813 0.0000
Ga5 0.5000 0.5000 0.1988
Ga6 0.7187 0.7187 0.0000
Ga7 0.0000 0.0000 0.2164
Ga8 0.7527 0.7527 0.6128
Ga9 0.7527 0.2473 0.3872
Ga10 0.2473 0.2473 0.6128
Ga11 0.2473 0.7527 0.3872
Ga12 0.2813 0.7187 0.0000
Ga13 0.7527 0.7527 0.3872
Ga14 0.7527 0.2473 0.6128
Ga15 0.2473 0.2473 0.3872
Ga16 0.2473 0.7527 0.6128
Fe1 0.0000 0.5000 0.5000
Fe2 0.0000 0.0000 0.0000
Fe3 0.5000 0.0000 0.5000

Question: Which value of D(E_F) does entry 7 give?
Answer: 1.246 states/eV per atom

Question: Among the records above, which one has the lowest D(E_F)?
Answer: Sm4Ga16Fe3